# 1
# Ce3AgGe5

An optimized crystal structure of Ce3AgGe5 (GGA-PBE, Alexandria).

Cell lengths 6.000, 8.647, 8.647 Å; angles 120.00, 90.00, 90.00 degrees
Sites, in units of the cell vectors:
Ce1 0.750 0.377 0.000
Ce2 0.750 0.623 0.623
Ce3 0.750 0.000 0.377
Ce4 0.250 0.623 0.000
Ce5 0.250 0.377 0.377
Ce6 0.250 0.000 0.623
Ag1 0.000 0.000 0.000
Ag2 0.500 0.000 0.000
Ge1 0.000 0.333 0.667
Ge2 0.500 0.667 0.333
Ge3 0.000 0.667 0.333
Ge4 0.500 0.333 0.667
Ge5 0.750 0.722 0.000
Ge6 0.750 0.278 0.278
Ge7 0.750 0.000 0.722
Ge8 0.250 0.278 0.000
Ge9 0.250 0.722 0.722
Ge10 0.250 0.000 0.278

Summary:
space group	P6_3/mcm
formation energy	-518.6	meV/atom
DFT total energy	-5.379	eV/atom

# 2
# TbPm3Tl2O

An optimized crystal structure of TbPm3Tl2O (GGA-PBE, Alexandria).

Cell lengths 4.697, 4.798, 9.051 Å; angles 105.37, 105.04, 90.00 degrees
Sites, in units of the cell vectors:
Tb1 0.500 0.000 0.000
Pm1 0.000 0.500 0.000
Pm2 0.172 0.172 0.344
Pm3 0.828 0.828 0.656
Tl1 0.638 0.638 0.277
Tl2 0.362 0.362 0.723
O1 0.000 0.000 0.000

Summary:
space group	Immm
DFT total energy	-5.135	eV/atom
energy relative to the elements, uncorrected	-1053	meV per atom

Record order is preserved below.
Calculated volume: 389, 189 Å³ per cell